[1]
{"formula": "SmHoMg4", "functional": "PBE-GGA", "state": "relaxed", "cell": [[3.304, 0.000, 0.000], [0.000, 5.240, 0.000], [-0.001, 0.000, 9.095]], "species": ["Sm", "Ho", "Mg", "Mg", "Mg", "Mg"], "frac_coords": [[0.000, 0.000, 0.000], [0.000, 0.500, 0.500], [0.498, 0.000, 0.664], [0.498, 0.500, 0.170], [0.502, 0.000, 0.336], [0.502, 0.500, 0.830]], "total_energy_ev_per_atom": -2.654, "m_tot_mub_per_fu": 0.0, "rho_g_cm3": 4.35}

=====

[2]
{"formula": "GaFeIr2", "functional": "PBE-GGA", "state": "relaxed", "cell": [[4.191, 0.000, 0.000], [-2.096, 3.630, 0.000], [0.000, 0.000, 8.003]], "species": ["Ga", "Ga", "Fe", "Fe", "Ir", "Ir", "Ir", "Ir"], "frac_coords": [[0.333, 0.667, 0.250], [0.667, 0.333, 0.750], [0.000, 0.000, 0.000], [0.000, 0.000, 0.500], [0.333, 0.667, 0.589], [0.333, 0.667, 0.911], [0.667, 0.333, 0.089], [0.667, 0.333, 0.411]], "total_energy_ev_per_atom": -7.245, "m_tot_mub_per_fu": 3.2, "rho_g_cm3": 13.91}

=====

[3]
{"formula": "Nd3Ni", "functional": "PBE-GGA", "state": "relaxed", "cell": [[4.772, 0.000, 0.000], [0.000, 4.772, 0.000], [0.000, 0.000, 4.772]], "species": ["Nd", "Nd", "Nd", "Ni"], "frac_coords": [[0.000, 0.000, 0.500], [0.000, 0.500, 0.000], [0.500, 0.000, 0.000], [0.500, 0.500, 0.500]], "total_energy_ev_per_atom": -4.775, "m_tot_mub_per_fu": 0.0, "formation_energy_kj_per_mol_atoms": 18.3, "rho_g_cm3": 7.51}

=====

[4]
{"formula": "Ta5Co", "functional": "PBE-GGA", "state": "relaxed", "cell": [[5.391, 0.000, 0.000], [-2.695, 4.669, 0.000], [0.000, 0.000, 17.316]], "species": ["Ta", "Ta", "Ta", "Ta", "Ta", "Ta", "Ta", "Ta", "Ta", "Ta", "Ta", "Ta", "Ta", "Ta", "Ta", "Ta", "Ta", "Ta", "Ta", "Ta", "Co", "Co", "Co", "Co"], "frac_coords": [[0.000, 0.000, 0.094], [0.000, 0.000, 0.406], [0.000, 0.000, 0.594], [0.000, 0.000, 0.906], [0.000, 0.500, 0.000], [0.000, 0.500, 0.500], [0.162, 0.325, 0.250], [0.162, 0.838, 0.250], [0.325, 0.162, 0.750], [0.333, 0.667, 0.125], [0.333, 0.667, 0.375], [0.500, 0.000, 0.000], [0.500, 0.000, 0.500], [0.500, 0.500, 0.000], [0.500, 0.500, 0.500], [0.667, 0.333, 0.625], [0.667, 0.333, 0.875], [0.675, 0.838, 0.250], [0.838, 0.162, 0.750], [0.838, 0.675, 0.750], [0.333, 0.667, 0.655], [0.333, 0.667, 0.845], [0.667, 0.333, 0.155], [0.667, 0.333, 0.345]], "total_energy_ev_per_atom": -10.538, "m_tot_mub_per_fu": 0.0, "formation_energy_kj_per_mol_atoms": 50.5, "rho_g_cm3": 14.69}

=====

[5]
{"formula": "ScFeNiSb", "functional": "PBE-GGA", "state": "relaxed", "cell": [[6.239, 0.000, 0.000], [0.000, 6.239, 0.000], [0.000, 0.000, 6.239]], "species": ["Sc", "Sc", "Sc", "Sc", "Fe", "Fe", "Fe", "Fe", "Ni", "Ni", "Ni", "Ni", "Sb", "Sb", "Sb", "Sb"], "frac_coords": [[0.000, 0.000, 0.000], [0.000, 0.500, 0.500], [0.500, 0.000, 0.500], [0.500, 0.500, 0.000], [0.250, 0.250, 0.250], [0.250, 0.750, 0.750], [0.750, 0.250, 0.750], [0.750, 0.750, 0.250], [0.250, 0.250, 0.750], [0.250, 0.750, 0.250], [0.750, 0.250, 0.250], [0.750, 0.750, 0.750], [0.000, 0.000, 0.500], [0.000, 0.500, 0.000], [0.500, 0.000, 0.000], [0.500, 0.500, 0.500]], "total_energy_ev_per_atom": -6.431, "m_tot_mub_per_fu": 1.7, "rho_g_cm3": 7.69}

=====

[6]
{"formula": "LaFeAu4", "functional": "PBE-GGA", "state": "relaxed", "cell": [[8.665, 0.000, 0.000], [0.000, 9.086, 0.000], [0.000, 0.000, 4.388]], "species": ["La", "La", "Fe", "Fe", "Au", "Au", "Au", "Au", "Au", "Au", "Au", "Au"], "frac_coords": [[0.000, 0.000, 0.000], [0.500, 0.500, 0.000], [0.000, 0.500, 0.500], [0.500, 0.000, 0.500], [0.000, 0.221, 0.500], [0.000, 0.779, 0.500], [0.162, 0.500, 0.000], [0.338, 0.000, 0.000], [0.500, 0.279, 0.500], [0.500, 0.721, 0.500], [0.662, 0.000, 0.000], [0.838, 0.500, 0.000]], "total_energy_ev_per_atom": -4.133, "m_tot_mub_per_fu": 3.3, "formation_energy_kj_per_mol_atoms": 24.1, "rho_g_cm3": 9.45}